## P
Compound: SmZnNiPd
Source: Alexandria via LeMat-Bulk
Functional: PBE-GGA
Structure: optimized geometry

Cell lengths 4.658, 4.658, 4.658 Å; angles 60.00, 60.00, 60.00 degrees
Positions (direct):
Ni  0.250  0.250  0.250
Zn  0.500  0.500  0.500
Pd  0.750  0.750  0.750
Sm  0.000  0.000  0.000

Computed properties:
SG ... No. 216
M_tot ... 0.00 μB per cell

---

## Q
Compound: SmZnNiPd
Source: Alexandria via LeMat-Bulk
Functional: PBE-GGA
Structure: optimized geometry

Cell lengths 4.295, 4.290, 5.297 Å; angles 113.96, 90.00, 120.04 degrees
Positions (direct):
Sm  0.615  0.230  0.486
Zn  0.126  0.253  0.022
Ni  0.820  0.640  0.102
Pd  0.405  0.810  0.857

Computed properties:
SG ... No. 8
M_tot ... 0.00 μB per cell

---

Which structure wins on stability? Q wins.

---

## P
Compound: NiSn6Pd
Source: Alexandria via LeMat-Bulk
Functional: PBE-GGA
Structure: optimized geometry

Cell lengths 8.314, 8.314, 7.965 Å; angles 109.56, 109.19, 111.37 degrees
Positions (direct):
Ni  0.000  0.500  0.000
Ni  0.500  0.000  0.000
Sn  0.161  0.675  0.835
Sn  0.839  0.325  0.165
Sn  0.841  0.654  0.495
Sn  0.159  0.346  0.505
Sn  0.824  0.164  0.667
Sn  0.176  0.836  0.333
Sn  0.503  0.842  0.667
Sn  0.497  0.158  0.333
Sn  0.651  0.825  0.145
Sn  0.349  0.175  0.855
Sn  0.680  0.506  0.855
Sn  0.320  0.494  0.145
Pd  0.000  0.000  0.500
Pd  0.500  0.500  0.500

Computed properties:
SG ... No. 12
M_tot ... 0.00 μB per cell

---

## Q
Compound: NiSn6Pd
Source: Alexandria via LeMat-Bulk
Functional: PBE-GGA
Structure: optimized geometry

Cell lengths 6.539, 6.018, 7.425 Å; angles 59.08, 60.88, 54.97 degrees
Positions (direct):
Ni  0.000  0.000  0.000
Sn  0.030  0.471  0.708
Sn  0.729  0.041  0.815
Sn  0.576  0.227  0.261
Sn  0.271  0.959  0.185
Sn  0.970  0.529  0.292
Sn  0.424  0.773  0.739
Pd  0.500  0.500  0.500

Computed properties:
SG ... No. 2
M_tot ... 0.00 μB per cell

---

Which structure wins on stability? P wins.

---

## P
Compound: NiSn2Pd2
Source: Alexandria via LeMat-Bulk
Functional: PBE-GGA
Structure: optimized geometry

Cell lengths 7.096, 7.096, 3.602 Å; angles 90.00, 90.00, 90.00 degrees
Positions (direct):
Ni  0.000  0.000  0.000
Ni  0.500  0.500  0.000
Sn  0.341  0.841  0.000
Sn  0.841  0.659  0.000
Sn  0.659  0.159  0.000
Sn  0.159  0.341  0.000
Pd  0.142  0.642  0.500
Pd  0.642  0.858  0.500
Pd  0.858  0.358  0.500
Pd  0.358  0.142  0.500

Computed properties:
SG ... No. 127
M_tot ... 0.00 μB per cell

---

## Q
Compound: NiSn2Pd2
Source: Alexandria via LeMat-Bulk
Functional: PBE-GGA
Structure: optimized geometry

Cell lengths 7.197, 7.197, 3.501 Å; angles 90.00, 90.00, 90.00 degrees
Positions (direct):
Ni  0.000  0.000  0.000
Ni  0.500  0.500  0.000
Sn  0.167  0.667  0.500
Sn  0.667  0.833  0.500
Sn  0.833  0.333  0.500
Sn  0.333  0.167  0.500
Pd  0.362  0.862  0.000
Pd  0.862  0.638  0.000
Pd  0.638  0.138  0.000
Pd  0.138  0.362  0.000

Computed properties:
SG ... No. 127
M_tot ... 0.00 μB per cell

---

Which structure wins on stability? P wins.

---

## P
Compound: Sr2NiPd
Source: Alexandria via LeMat-Bulk
Functional: PBE-GGA
Structure: optimized geometry

Cell lengths 3.702, 5.227, 5.227 Å; angles 90.00, 90.00, 90.00 degrees
Last column: magnetic moment on the atom in μB.
Positions (direct):
Sr  0.000  0.000  0.500  -0.01
Sr  0.000  0.500  0.000  -0.01
Pd  0.500  0.000  0.000  0.01
Ni  0.500  0.500  0.500  0.17

Computed properties:
SG ... No. 123
M_tot ... 0.14 μB per cell

---

## Q
Compound: Sr2NiPd
Source: Alexandria via LeMat-Bulk
Functional: PBE-GGA
Structure: optimized geometry

Cell lengths 4.303, 4.303, 8.245 Å; angles 74.86, 74.87, 60.00 degrees
Positions (direct):
Sr  0.887  0.650  0.575
Sr  0.718  0.481  0.083
Ni  0.469  0.232  0.829
Pd  0.136  0.899  0.830

Computed properties:
SG ... No. 160
M_tot ... 0.00 μB per cell

---

Which structure wins on stability? Q wins.

---

## P
Compound: Sr2NiPd
Source: Alexandria via LeMat-Bulk
Functional: PBE-GGA
Structure: optimized geometry

Cell lengths 5.225, 5.225, 5.225 Å; angles 60.00, 60.00, 60.00 degrees
Positions (direct):
Sr  0.250  0.250  0.250
Sr  0.750  0.750  0.750
Pd  0.500  0.500  0.500
Ni  0.000  0.000  0.000

Computed properties:
SG ... No. 225
M_tot ... 0.00 μB per cell

---

## Q
Compound: Sr2NiPd
Source: Alexandria via LeMat-Bulk
Functional: PBE-GGA
Structure: optimized geometry

Cell lengths 7.946, 7.946, 6.546 Å; angles 52.64, 52.64, 90.00 degrees
Positions (direct):
Sr  0.614  0.125  0.250
Sr  0.136  0.625  0.250
Sr  0.375  0.386  0.750
Sr  0.875  0.864  0.750
Pd  0.000  0.000  0.000
Pd  0.750  0.250  0.500
Ni  0.500  0.500  0.000
Ni  0.250  0.750  0.500

Computed properties:
SG ... No. 122
M_tot ... 0.00 μB per cell

---

Which structure wins on stability? P wins.

---

## P
Compound: SrNi3Pd
Source: Alexandria via LeMat-Bulk
Functional: PBE-GGA
Structure: optimized geometry

Cell lengths 4.623, 4.623, 4.623 Å; angles 90.00, 90.00, 90.00 degrees
Positions (direct):
Sr  0.000  0.000  0.000
Pd  0.500  0.500  0.500
Ni  0.000  0.500  0.000
Ni  0.000  0.000  0.500
Ni  0.500  0.000  0.000

Computed properties:
SG ... No. 221
M_tot ... 0.00 μB per cell

---

## Q
Compound: SrNi3Pd
Source: Alexandria via LeMat-Bulk
Functional: PBE-GGA
Structure: optimized geometry

Cell lengths 4.692, 4.692, 4.692 Å; angles 90.00, 90.00, 90.00 degrees
Last column: magnetic moment on the atom in μB.
Positions (direct):
Sr  0.500  0.500  0.500  -0.02
Pd  0.000  0.000  0.000  0.32
Ni  0.000  0.500  0.000  0.63
Ni  0.000  0.000  0.500  0.87
Ni  0.500  0.000  0.000  0.41

Computed properties:
SG ... No. 221
M_tot ... 2.13 μB per cell

---

Which structure wins on stability? Q wins.

---

## P
Compound: TaNi3Pd2
Source: Alexandria via LeMat-Bulk
Functional: PBE-GGA
Structure: optimized geometry

Cell lengths 4.971, 4.971, 8.467 Å; angles 114.95, 114.95, 64.08 degrees
Positions (direct):
Ta  0.667  0.667  0.333
Ta  0.333  0.333  0.667
Ni  0.836  0.836  0.164
Ni  0.672  0.672  0.836
Ni  0.164  0.164  0.836
Ni  0.328  0.328  0.164
Ni  0.163  0.163  0.326
Ni  0.837  0.837  0.674
Pd  0.750  0.250  0.500
Pd  0.750  0.250  0.000
Pd  0.250  0.750  0.500
Pd  0.250  0.750  0.000

Computed properties:
SG ... No. 69
M_tot ... 0.00 μB per cell

---

## Q
Compound: TaNi3Pd2
Source: Alexandria via LeMat-Bulk
Functional: PBE-GGA
Structure: optimized geometry

Cell lengths 3.841, 7.388, 7.054 Å; angles 121.58, 105.80, 90.00 degrees
Positions (direct):
Ta  0.000  0.500  0.000
Ta  0.000  0.000  0.000
Ni  0.500  0.250  0.000
Ni  0.500  0.750  0.000
Ni  0.163  0.413  0.326
Ni  0.837  0.087  0.674
Ni  0.837  0.587  0.674
Ni  0.163  0.913  0.326
Pd  0.663  0.663  0.326
Pd  0.337  0.837  0.674
Pd  0.663  0.163  0.326
Pd  0.337  0.337  0.674

Computed properties:
SG ... No. 65
M_tot ... 0.00 μB per cell

---

Which structure wins on stability? Q wins.

---

## P
Compound: TaNi2Pd2
Source: Alexandria via LeMat-Bulk
Functional: PBE-GGA
Structure: optimized geometry

Cell lengths 7.111, 7.111, 2.837 Å; angles 90.00, 90.00, 90.00 degrees
Positions (direct):
Ni  0.162  0.662  0.500
Ni  0.662  0.838  0.500
Ni  0.838  0.338  0.500
Ni  0.338  0.162  0.500
Pd  0.364  0.864  0.000
Pd  0.864  0.636  0.000
Pd  0.636  0.136  0.000
Pd  0.136  0.364  0.000
Ta  0.000  0.000  0.000
Ta  0.500  0.500  0.000

Computed properties:
SG ... No. 127
M_tot ... 0.00 μB per cell

---

## Q
Compound: TaNi2Pd2
Source: Alexandria via LeMat-Bulk
Functional: PBE-GGA
Structure: optimized geometry

Cell lengths 6.268, 6.268, 3.668 Å; angles 90.00, 90.00, 90.00 degrees
Positions (direct):
Ni  0.370  0.870  0.000
Ni  0.870  0.630  0.000
Ni  0.630  0.130  0.000
Ni  0.130  0.370  0.000
Pd  0.167  0.667  0.500
Pd  0.667  0.833  0.500
Pd  0.833  0.333  0.500
Pd  0.333  0.167  0.500
Ta  0.000  0.000  0.000
Ta  0.500  0.500  0.000

Computed properties:
SG ... No. 127
M_tot ... 0.00 μB per cell

---

Which structure wins on stability? Q wins.

---

## P
Compound: TaNiPd4
Source: Alexandria via LeMat-Bulk
Functional: PBE-GGA
Structure: optimized geometry

Cell lengths 6.832, 5.541, 5.378 Å; angles 90.00, 90.00, 90.00 degrees
Last column: magnetic moment on the atom in μB.
Positions (direct):
Ta  0.000  0.250  0.826  -0.02
Ta  0.000  0.750  0.174  -0.02
Ni  0.500  0.250  0.333  0.51
Ni  0.500  0.750  0.667  0.51
Pd  0.295  0.500  0.000  0.03
Pd  0.211  0.500  0.500  0.04
Pd  0.705  0.000  0.000  0.03
Pd  0.789  0.500  0.500  0.04
Pd  0.789  0.000  0.500  0.04
Pd  0.295  0.000  0.000  0.03
Pd  0.211  0.000  0.500  0.04
Pd  0.705  0.500  0.000  0.03

Computed properties:
SG ... No. 51
M_tot ... 1.20 μB per cell

---

## Q
Compound: TaNiPd4
Source: Alexandria via LeMat-Bulk
Functional: PBE-GGA
Structure: optimized geometry

Cell lengths 4.527, 4.527, 5.462 Å; angles 74.09, 74.09, 109.47 degrees
Positions (direct):
Ta  0.000  0.500  0.500
Ni  0.000  0.500  0.000
Pd  0.311  0.184  0.754
Pd  0.684  0.811  0.754
Pd  0.316  0.189  0.246
Pd  0.689  0.816  0.246

Computed properties:
SG ... No. 12
M_tot ... 0.00 μB per cell

---

Which structure wins on stability? Q wins.

---

## P
Compound: Tb3NiPd
Source: Alexandria via LeMat-Bulk
Functional: PBE-GGA
Structure: optimized geometry

Cell lengths 6.789, 7.357, 9.724 Å; angles 100.80, 90.00, 90.00 degrees
Positions (direct):
Tb  0.303  0.131  0.235
Tb  0.697  0.869  0.765
Tb  0.803  0.369  0.265
Tb  0.197  0.631  0.735
Tb  0.993  0.765  0.065
Tb  0.007  0.235  0.935
Tb  0.493  0.735  0.435
Tb  0.507  0.265  0.565
Tb  0.511  0.723  0.069
Tb  0.489  0.277  0.931
Tb  0.011  0.777  0.431
Tb  0.989  0.223  0.569
Ni  0.296  0.947  0.944
Ni  0.704  0.053  0.056
Ni  0.796  0.553  0.556
Ni  0.204  0.447  0.444
Pd  0.722  0.002  0.320
Pd  0.278  0.998  0.680
Pd  0.222  0.498  0.180
Pd  0.778  0.502  0.820

Computed properties:
SG ... No. 14
M_tot ... 0.00 μB per cell

---

## Q
Compound: Tb3NiPd
Source: Alexandria via LeMat-Bulk
Functional: PBE-GGA
Structure: optimized geometry

Cell lengths 3.915, 7.977, 7.933 Å; angles 87.14, 89.98, 104.20 degrees
Positions (direct):
Tb  0.079  0.190  0.399
Tb  0.417  0.868  0.657
Tb  0.627  0.286  0.764
Tb  0.965  0.964  0.022
Tb  0.257  0.547  0.019
Tb  0.787  0.607  0.402
Ni  0.236  0.504  0.641
Ni  0.809  0.651  0.781
Pd  0.429  0.891  0.284
Pd  0.615  0.263  0.138

Computed properties:
SG ... No. 8
M_tot ... 0.00 μB per cell

---

Which structure wins on stability? Q wins.

---

## P
Compound: TbNiPd2
Source: Alexandria via LeMat-Bulk
Functional: PBE-GGA
Structure: optimized geometry

Cell lengths 4.004, 4.087, 4.087 Å; angles 90.00, 90.00, 90.00 degrees
Last column: magnetic moment on the atom in μB.
Positions (direct):
Ni  0.500  0.000  0.000  0.34
Tb  0.500  0.500  0.500  -0.01
Pd  0.000  0.000  0.500  0.04
Pd  0.000  0.500  0.000  0.04

Computed properties:
SG ... No. 123
M_tot ... 0.41 μB per cell

---

## Q
Compound: TbNiPd2
Source: Alexandria via LeMat-Bulk
Functional: PBE-GGA
Structure: optimized geometry

Cell lengths 4.348, 4.348, 5.125 Å; angles 64.90, 64.90, 60.00 degrees
Positions (direct):
Ni  0.500  0.500  0.500
Tb  0.000  0.000  0.000
Pd  0.786  0.786  0.642
Pd  0.214  0.214  0.358

Computed properties:
SG ... No. 166
M_tot ... 0.00 μB per cell

---

Which structure wins on stability? P wins.

---

## P
Compound: TcNi2Pd2
Source: Alexandria via LeMat-Bulk
Functional: PBE-GGA
Structure: optimized geometry

Cell lengths 6.998, 6.998, 2.799 Å; angles 90.00, 90.00, 90.00 degrees
Last column: magnetic moment on the atom in μB.
Positions (direct):
Ni  0.378  0.878  0.000  0.60
Ni  0.878  0.622  0.000  0.58
Ni  0.622  0.122  0.000  0.60
Ni  0.122  0.378  0.000  0.58
Tc  0.000  0.000  0.000  0.39
Tc  0.500  0.500  0.000  0.38
Pd  0.176  0.676  0.500  0.17
Pd  0.676  0.824  0.500  0.17
Pd  0.824  0.324  0.500  0.17
Pd  0.324  0.176  0.500  0.17

Computed properties:
SG ... No. 127
M_tot ... 3.80 μB per cell

---

## Q
Compound: TcNi2Pd2
Source: Alexandria via LeMat-Bulk
Functional: PBE-GGA
Structure: optimized geometry

Cell lengths 3.630, 3.630, 6.250 Å; angles 73.12, 73.12, 90.00 degrees
Last column: magnetic moment on the atom in μB.
Positions (direct):
Ni  0.405  0.405  0.190  0.78
Ni  0.595  0.595  0.810  0.78
Tc  0.000  0.000  0.000  2.30
Pd  0.750  0.250  0.500  0.23
Pd  0.250  0.750  0.500  0.23

Computed properties:
SG ... No. 139
M_tot ... 4.44 μB per cell

---

Which structure wins on stability? P wins.